1.
{
  "formula": "InRe2Sb",
  "functional": "PBE-GGA",
  "state": "optimized geometry",
  "lattice_angstrom": [[-2.056, 2.056, 4.221], [2.056, -2.056, 4.221], [2.056, 2.056, -4.221]],
  "species": ["In", "Re", "Re", "Sb"],
  "fractional_positions": [[0.000, 0.000, 0.000], [0.250, 0.750, 0.500], [0.500, 0.500, 0.000], [0.750, 0.250, 0.500]],
  "raw_formation_energy_ev_per_fu": 3.35,
  "rho_g_cm3": 14.17,
  "energy_ev_per_cell": -28.412,
  "n_ef_per_ev_atom": 0.65,
  "crystal_system": "tetragonal",
  "relative_energy_mev_per_atom": 592
}

=====

2.
{
  "formula": "Ca3UPa3N8",
  "functional": "PBE-GGA",
  "state": "optimized geometry",
  "lattice_angstrom": [[3.537, 2.042, 5.695], [-3.537, 2.042, 5.695], [0.000, -4.085, 5.695]],
  "species": ["Ca", "Ca", "Ca", "U", "Pa", "Pa", "Pa", "N", "N", "N", "N", "N", "N", "N", "N"],
  "fractional_positions": [[0.000, 0.500, 0.500], [0.500, 0.000, 0.500], [0.500, 0.500, 0.000], [0.500, 0.500, 0.500], [0.000, 0.000, 0.500], [0.000, 0.500, 0.000], [0.500, 0.000, 0.000], [0.240, 0.240, 0.240], [0.244, 0.723, 0.723], [0.277, 0.277, 0.756], [0.277, 0.756, 0.277], [0.723, 0.244, 0.723], [0.723, 0.723, 0.244], [0.756, 0.277, 0.277], [0.760, 0.760, 0.760]],
  "raw_formation_energy_ev_per_fu": -20.73,
  "rho_g_cm3": 7.83,
  "energy_ev_per_cell": -133.112,
  "n_ef_per_ev_atom": 0.62,
  "crystal_system": "trigonal"
}

=====

3.
{
  "formula": "Rb2LiNpTe4",
  "functional": "PBE-GGA",
  "state": "optimized geometry",
  "lattice_angstrom": [[7.775, 0.000, 0.000], [0.000, 4.582, 0.000], [-2.678, 0.000, 8.359]],
  "species": ["Rb", "Rb", "Li", "Np", "Te", "Te", "Te", "Te"],
  "fractional_positions": [[0.000, 0.000, 0.000], [0.500, 0.500, 0.000], [0.000, 0.500, 0.500], [0.500, 0.000, 0.500], [0.241, 0.000, 0.685], [0.278, 0.500, 0.306], [0.722, 0.500, 0.694], [0.759, 0.000, 0.315]],
  "raw_formation_energy_ev_per_fu": -6.37,
  "rho_g_cm3": 5.16,
  "energy_ev_per_cell": -35.728,
  "n_ef_per_ev_atom": 0.68,
  "crystal_system": "monoclinic"
}

=====

4.
{
  "formula": "Nd4In3Cu",
  "functional": "PBE-GGA",
  "state": "optimized geometry",
  "lattice_angstrom": [[3.651, 0.000, 0.000], [0.000, 3.651, 0.000], [0.000, 0.000, 16.598]],
  "species": ["Nd", "Nd", "Nd", "Nd", "In", "In", "In", "Cu"],
  "fractional_positions": [[0.000, 0.000, 0.107], [0.000, 0.000, 0.369], [0.000, 0.000, 0.631], [0.000, 0.000, 0.893], [0.500, 0.500, 0.237], [0.500, 0.500, 0.500], [0.500, 0.500, 0.763], [0.500, 0.500, 0.000]],
  "ef_ev_per_atom": -0.401,
  "rho_g_cm3": 7.39,
  "energy_ev_per_cell": -34.594,
  "n_ef_per_ev_atom": 0.88,
  "crystal_system": "tetragonal"
}

=====

5.
{
  "formula": "Rb2TbTe2O6",
  "functional": "PBE-GGA",
  "state": "optimized geometry",
  "lattice_angstrom": [[4.962, -3.279, 0.000], [4.962, 3.279, 0.000], [-2.564, 0.000, 6.910]],
  "species": ["Rb", "Rb", "Tb", "Te", "Te", "O", "O", "O", "O", "O", "O"],
  "fractional_positions": [[0.197, 0.197, 0.131], [0.803, 0.803, 0.869], [0.000, 0.000, 0.500], [0.419, 0.419, 0.742], [0.581, 0.581, 0.258], [0.220, 0.730, 0.264], [0.239, 0.239, 0.533], [0.270, 0.780, 0.736], [0.730, 0.220, 0.264], [0.761, 0.761, 0.467], [0.780, 0.270, 0.736]],
  "raw_formation_energy_ev_per_fu": -18.12,
  "rho_g_cm3": 5.03,
  "energy_ev_per_cell": -60.713,
  "n_ef_per_ev_atom": 0.23,
  "crystal_system": "monoclinic"
}

=====

6.
{
  "formula": "USn2Ir",
  "functional": "PBE-GGA",
  "state": "optimized geometry",
  "lattice_angstrom": [[1.571, 0.907, 9.773], [-1.571, 0.907, 9.773], [0.000, -1.814, 9.773]],
  "species": ["U", "Sn", "Sn", "Ir"],
  "fractional_positions": [[0.000, 0.000, 0.000], [0.239, 0.239, 0.239], [0.761, 0.761, 0.761], [0.500, 0.500, 0.500]],
  "ef_ev_per_atom": 0.086,
  "rho_g_cm3": 13.27,
  "energy_ev_per_cell": -27.812,
  "n_ef_per_ev_atom": 1.51,
  "crystal_system": "trigonal"
}

=====

7.
{
  "formula": "NaLa2CdCo",
  "functional": "PBE-GGA",
  "state": "optimized geometry",
  "lattice_angstrom": [[5.283, 0.000, 0.000], [0.000, 5.283, 0.000], [0.000, 0.000, 5.263]],
  "species": ["Na", "La", "La", "Cd", "Co"],
  "fractional_positions": [[0.000, 0.000, 0.000], [0.000, 0.500, 0.500], [0.500, 0.000, 0.500], [0.500, 0.500, 0.000], [0.500, 0.500, 0.500]],
  "ef_ev_per_atom": -0.096,
  "rho_g_cm3": 5.34,
  "energy_ev_per_cell": -19.676,
  "n_ef_per_ev_atom": 0.88,
  "crystal_system": "tetragonal",
  "relative_energy_mev_per_atom": 0
}

=====

8.
{
  "formula": "Sr2TaSb",
  "functional": "PBE-GGA",
  "state": "optimized geometry",
  "lattice_angstrom": [[3.351, 0.000, 0.000], [0.000, 3.351, 0.000], [0.000, 0.000, 10.374]],
  "species": ["Sr", "Sr", "Ta", "Sb"],
  "fractional_positions": [[0.000, 0.000, 0.250], [0.000, 0.000, 0.750], [0.500, 0.500, 0.000], [0.500, 0.500, 0.500]],
  "raw_formation_energy_ev_per_fu": 1.21,
  "rho_g_cm3": 6.81,
  "energy_ev_per_cell": -18.128,
  "n_ef_per_ev_atom": 0.90,
  "crystal_system": "tetragonal"
}

=====

9.
{
  "formula": "Tb5DyAl3",
  "functional": "PBE-GGA",
  "state": "optimized geometry",
  "lattice_angstrom": [[9.106, 0.000, 0.000], [-4.553, 7.886, 0.000], [0.000, 0.000, 6.657]],
  "species": ["Tb", "Tb", "Tb", "Tb", "Tb", "Tb", "Tb", "Tb", "Tb", "Tb", "Dy", "Dy", "Al", "Al", "Al", "Al", "Al", "Al"],
  "fractional_positions": [[0.000, 0.333, 0.250], [0.000, 0.667, 0.750], [0.333, 0.000, 0.250], [0.333, 0.333, 0.750], [0.333, 0.667, 0.000], [0.333, 0.667, 0.500], [0.667, 0.000, 0.750], [0.667, 0.333, 0.000], [0.667, 0.333, 0.500], [0.667, 0.667, 0.250], [0.000, 0.000, 0.000], [0.000, 0.000, 0.500], [0.000, 0.333, 0.750], [0.000, 0.667, 0.250], [0.333, 0.000, 0.750], [0.333, 0.333, 0.250], [0.667, 0.000, 0.250], [0.667, 0.667, 0.750]],
  "ef_ev_per_atom": -0.265,
  "rho_g_cm3": 7.21,
  "energy_ev_per_cell": -82.729,
  "n_ef_per_ev_atom": 1.11,
  "crystal_system": "hexagonal"
}

=====

10.
{
  "formula": "BaCa2Be",
  "functional": "PBE-GGA",
  "state": "optimized geometry",
  "lattice_angstrom": [[-4.747, 4.747, 3.460], [4.747, -4.747, 3.460], [4.747, 4.747, -3.460]],
  "species": ["Ba", "Ba", "Ca", "Ca", "Ca", "Ca", "Be", "Be"],
  "fractional_positions": [[0.000, 0.000, 0.000], [0.750, 0.250, 0.500], [0.223, 0.625, 0.098], [0.375, 0.473, 0.598], [0.527, 0.125, 0.902], [0.875, 0.777, 0.402], [0.250, 0.750, 0.500], [0.500, 0.500, 0.000]],
  "ef_ev_per_atom": 0.408,
  "rho_g_cm3": 2.41,
  "energy_ev_per_cell": -16.043,
  "n_ef_per_ev_atom": 1.01,
  "crystal_system": "tetragonal"
}

=====

11.
{
  "formula": "CrAsAu",
  "functional": "PBE-GGA",
  "state": "optimized geometry",
  "lattice_angstrom": [[-1.631, 1.667, 4.752], [1.631, -1.667, 4.752], [1.631, 1.667, -4.752]],
  "species": ["Cr", "As", "Au"],
  "fractional_positions": [[0.000, 0.000, 0.000], [0.607, 0.607, 0.000], [0.315, 0.315, 0.000]],
  "ef_ev_per_atom": 0.158,
  "rho_g_cm3": 10.41,
  "energy_ev_per_cell": -17.075,
  "n_ef_per_ev_atom": 0.63,
  "crystal_system": "orthorhombic",
  "relative_energy_mev_per_atom": 30
}

=====

12.
{
  "formula": "AlVCl3",
  "functional": "PBE-GGA",
  "state": "optimized geometry",
  "lattice_angstrom": [[4.871, 0.000, 0.000], [0.000, 4.871, 0.000], [0.000, 0.000, 4.871]],
  "species": ["Al", "V", "Cl", "Cl", "Cl"],
  "fractional_positions": [[0.000, 0.000, 0.000], [0.500, 0.500, 0.500], [0.000, 0.000, 0.500], [0.000, 0.500, 0.000], [0.500, 0.000, 0.000]],
  "raw_formation_energy_ev_per_fu": -0.84,
  "rho_g_cm3": 2.65,
  "energy_ev_per_cell": -19.239,
  "n_ef_per_ev_atom": 1.88,
  "crystal_system": "cubic",
  "relative_energy_mev_per_atom": 505
}